This record from the Alexandria database describes a relaxed Ag5H12Pt3 crystal. The functional is PBE.

Computed properties:
E in eV for the cell shown: -265.6
D(E_F) in states/eV/f.u.: 6.71

Cell: 10.217 10.217 10.217 Å, 109.47 109.47 109.47°
Fractional positions:
Ag: 0.000 0.000 0.000
Ag: 0.000 0.000 0.500
Ag: 0.000 0.500 0.000
Ag: 0.000 0.500 0.500
Ag: 0.125 0.750 0.875
Ag: 0.125 0.875 0.250
Ag: 0.250 0.125 0.875
Ag: 0.250 0.625 0.375
Ag: 0.375 0.250 0.625
Ag: 0.375 0.625 0.750
Ag: 0.500 0.000 0.000
Ag: 0.500 0.000 0.500
Ag: 0.500 0.500 0.000
Ag: 0.500 0.500 0.500
Ag: 0.625 0.375 0.250
Ag: 0.625 0.750 0.375
Ag: 0.750 0.375 0.625
Ag: 0.750 0.875 0.125
Ag: 0.875 0.125 0.750
Ag: 0.875 0.250 0.125
H: 0.022 0.699 0.649
H: 0.022 0.823 0.373
H: 0.050 0.199 0.177
H: 0.050 0.351 0.873
H: 0.127 0.677 0.478
H: 0.127 0.950 0.649
H: 0.149 0.199 0.522
H: 0.149 0.450 0.627
H: 0.177 0.050 0.199
H: 0.177 0.627 0.978
H: 0.199 0.177 0.050
H: 0.199 0.522 0.149
H: 0.301 0.351 0.978
H: 0.301 0.450 0.323
H: 0.323 0.301 0.450
H: 0.323 0.522 0.873
H: 0.351 0.873 0.050
H: 0.351 0.978 0.301
H: 0.373 0.022 0.823
H: 0.373 0.851 0.550
H: 0.450 0.323 0.301
H: 0.450 0.627 0.149
H: 0.478 0.127 0.677
H: 0.478 0.851 0.801
H: 0.522 0.149 0.199
H: 0.522 0.873 0.323
H: 0.550 0.373 0.851
H: 0.550 0.677 0.699
H: 0.627 0.149 0.450
H: 0.627 0.978 0.177
H: 0.649 0.022 0.699
H: 0.649 0.127 0.950
H: 0.677 0.478 0.127
H: 0.677 0.699 0.550
H: 0.699 0.550 0.677
H: 0.699 0.649 0.022
H: 0.801 0.478 0.851
H: 0.801 0.823 0.950
H: 0.823 0.373 0.022
H: 0.823 0.950 0.801
H: 0.851 0.550 0.373
H: 0.851 0.801 0.478
H: 0.873 0.050 0.351
H: 0.873 0.323 0.522
H: 0.950 0.649 0.127
H: 0.950 0.801 0.823
H: 0.978 0.177 0.627
H: 0.978 0.301 0.351
Pt: 0.125 0.250 0.375
Pt: 0.125 0.375 0.750
Pt: 0.250 0.375 0.125
Pt: 0.250 0.875 0.625
Pt: 0.375 0.125 0.250
Pt: 0.375 0.750 0.125
Pt: 0.625 0.250 0.875
Pt: 0.625 0.875 0.750
Pt: 0.750 0.125 0.375
Pt: 0.750 0.625 0.875
Pt: 0.875 0.625 0.250
Pt: 0.875 0.750 0.625